A PBEsol-optimized structure of CdInSe2N, computed with meta-GGA SCAN.

Summary:
DOS at the Fermi energy ... 2.9 states/eV/f.u.
ΔE_f (raw) ... 0.750 eV per atom
DFT total energy ... -109.501 eV/f.u.
Crystal system ... tetragonal

```
CdInSe2N
1.0
5.2988 0.0000 0.0000
0.0000 5.2988 0.0000
0.0000 0.0000 4.1091
Cd In Se N
1 1 2 1
direct
0.0000 0.0000 0.0000
0.5000 0.5000 0.5000
0.0000 0.5000 0.0000
0.5000 0.0000 0.0000
0.0000 0.0000 0.5000
```


A PBEsol-optimized structure of TlRuSe, computed with meta-GGA SCAN.

Summary:
DOS at the Fermi energy ... 3.1 states/eV/f.u.
ΔE_f (raw) ... 0.450 eV per atom
DFT total energy ... -125.914 eV/f.u.
Crystal system ... cubic

```
TlRuSe
1.0
6.2516 0.0000 0.0000
0.0000 6.2516 0.0000
0.0000 0.0000 6.2516
Tl Ru Se
4 4 4
direct
0.0000 0.0000 0.0000
0.0000 0.5000 0.5000
0.5000 0.0000 0.5000
0.5000 0.5000 0.0000
0.2500 0.2500 0.2500
0.2500 0.7500 0.7500
0.7500 0.2500 0.7500
0.7500 0.7500 0.2500
0.0000 0.0000 0.5000
0.0000 0.5000 0.0000
0.5000 0.0000 0.0000
0.5000 0.5000 0.5000
```


A PBEsol-optimized structure of ZnSbS2O, computed with meta-GGA SCAN.

Summary:
DOS at the Fermi energy ... 3.6 states/eV/f.u.
ΔE_f (raw) ... 0.577 eV per atom
DFT total energy ... -73.377 eV/f.u.
Crystal system ... tetragonal

```
ZnSbS2O
1.0
4.3048 0.0000 0.0000
0.0000 4.3048 0.0000
0.0000 0.0000 4.5604
Zn Sb S O
1 1 2 1
direct
0.0000 0.0000 0.0000
0.5000 0.5000 0.0000
0.0000 0.5000 0.5000
0.5000 0.0000 0.5000
0.5000 0.5000 0.5000
```